(1)
DFT (GGA-PBE) results for an optimized crystal structure of ZrHSN2.

Geometry as POSCAR:
```
ZrHSN2
1.0
-0.2737 -1.8422 3.9003
4.3120 -0.2196 0.1988
0.1338 4.6038 2.1839
Zr N H S
1 2 1 1
direct
0.0000 0.0000 0.0000
0.0000 0.5000 0.0000
0.5000 0.0000 0.0000
0.5000 0.5000 0.5000
0.0000 0.0000 0.5000
```

Summary:
* DOS at the Fermi energy: 3.287 states/eV/f.u.
* E above lowest polymorph: 305 meV/atom
* final energy: -27.547 eV/f.u.
* crystal system: tetragonal
* magnetic moment: 3.882 μB/cell
* space group: P4/mmm (123)


(2)
DFT (GGA-PBE) results for an optimized crystal structure of AcPuSc2O8.

Geometry as POSCAR:
```
AcPuSc2O8
1.0
-1.1676 -2.4829 -4.2561
0.3686 -4.6768 1.9169
-7.1591 -0.6822 1.5410
O Pu Ac Sc
8 1 1 2
direct
0.3306 0.3291 0.4985
0.1996 0.7880 0.7868
0.7891 0.2009 0.7866
0.8004 0.2120 0.2132
0.6694 0.6709 0.5015
0.2109 0.7991 0.2134
0.2519 0.2503 0.9566
0.7481 0.7497 0.0434
0.0000 0.0000 0.0000
0.0000 0.0000 0.5000
0.5372 0.5373 0.2855
0.4628 0.4627 0.7145
```

Summary:
* final energy: -106.579 eV/f.u.
* crystal system: triclinic
* ΔE_f (raw): -68.82 kcal/mol of atoms
* magnetic moment: 1.000 μB/cell
* space group: P-1 (2)


(3)
DFT (GGA-PBE) results for an optimized crystal structure of CuPdSe.

Geometry as POSCAR:
```
CuPdSe
1.0
-5.2551 2.3414 2.4317
-1.7985 -3.2656 -0.7425
4.0227 -3.7513 6.7548
Pd Cu Se
4 4 4
direct
0.2696 0.5000 0.3989
0.7304 0.5000 0.6011
0.7304 0.0000 0.1011
0.2696 0.0000 0.8989
0.5777 0.5000 0.8744
0.4223 0.5000 0.1256
0.4223 0.0000 0.6256
0.5777 0.0000 0.3744
0.8124 0.0000 0.8241
0.1876 0.0000 0.1759
0.8124 0.5000 0.3241
0.1876 0.5000 0.6759
```

Summary:
* DOS at the Fermi energy: 1.880 states/eV/f.u.
* E above lowest polymorph: 0 meV/atom
* final energy: -13.214 eV/f.u.
* crystal system: monoclinic
* ΔE_f (raw): -3.39 kcal/mol of atoms
* magnetic moment: 0.000 μB/cell
* space group: C2/m (12)


(4)
DFT (GGA-PBE) results for an optimized crystal structure of Dy8GeAs5.

Geometry as POSCAR:
```
Dy8GeAs5
1.0
7.1370 0.0000 -2.4856
-3.5461 6.1733 -2.5359
-0.0449 0.0000 7.5573
As Dy Ge
5 8 1
direct
0.8749 0.8744 0.2504
0.9995 0.3755 0.1251
0.3760 0.1256 0.0005
0.7496 0.6245 0.6240
0.5000 0.0000 0.5000
0.6262 0.8844 0.8749
0.4900 0.6151 0.2387
0.7613 0.2513 0.3764
0.2582 0.2487 0.3738
0.6236 0.3849 0.8749
0.1251 0.7487 0.5100
0.1251 0.7513 0.0095
0.9905 0.1156 0.7418
0.2500 0.5000 0.7500
```

Summary:
* DOS at the Fermi energy: 13.279 states/eV/f.u.
* final energy: -81.340 eV/f.u.
* crystal system: tetragonal
* magnetic moment: 0.000 μB/cell
* space group: I-4 (82)


(5)
DFT (GGA-PBE) results for an optimized crystal structure of LaPmZnRh.

Geometry as POSCAR:
```
LaPmZnRh
1.0
-0.7921 4.7446 1.7893
-3.2485 3.1478 -2.4245
-4.4948 1.2102 2.1616
Pm La Zn Rh
1 1 1 1
direct
0.7500 0.7500 0.7500
0.2500 0.2500 0.2500
0.0000 0.0000 0.0000
0.5000 0.5000 0.5000
```

Summary:
* DOS at the Fermi energy: 2.145 states/eV/f.u.
* E above lowest polymorph: 52 meV/atom
* final energy: -20.236 eV/f.u.
* crystal system: cubic
* magnetic moment: 0.000 μB/cell
* space group: F-43m (216)


(6)
DFT (GGA-PBE) results for an optimized crystal structure of Tb12NdEr6.

Geometry as POSCAR:
```
Tb12NdEr6
1.0
8.4443 0.7091 0.8495
-0.5793 8.4542 0.8495
-0.5793 -0.6749 8.4699
Er Tb Nd
6 12 1
direct
0.9049 0.3086 0.7423
0.0951 0.6914 0.2577
0.7423 0.9049 0.3086
0.6914 0.2577 0.0951
0.3086 0.7423 0.9049
0.2577 0.0951 0.6914
0.7948 0.6419 0.9885
0.2052 0.3581 0.0115
0.5657 0.2243 0.4584
0.3581 0.0115 0.2052
0.9885 0.7948 0.6419
0.7757 0.5416 0.4343
0.6419 0.9885 0.7948
0.4584 0.5657 0.2243
0.4343 0.7757 0.5416
0.0115 0.2052 0.3581
0.2243 0.4584 0.5657
0.5416 0.4343 0.7757
0.0000 0.0000 0.0000
```

Summary:
* DOS at the Fermi energy: 33.133 states/eV/f.u.
* E above lowest polymorph: 0 meV/atom
* final energy: -84.818 eV/f.u.
* crystal system: trigonal
* magnetic moment: 0.001 μB/cell
* space group: R-3 (148)